(1)
{
  "formula": "Ce2Nd3PaP6",
  "functional": "PBE",
  "state": "relaxed",
  "energy_ev_per_cell": -86.14,
  "magmom_total_mub_per_fu": 1.16,
  "sg": "C2/m, No. 12",
  "formation_enthalpy_0k_kj_per_mol_atoms": -144.9,
  "lattice": [[3.5546, -6.1546, 0.0000], [3.5546, 6.1546, 0.0000], [-2.3683, 0.0000, 6.7015]],
  "species": ["Ce", "Ce", "Nd", "Nd", "Nd", "Pa", "P", "P", "P", "P", "P", "P"],
  "frac_coords": [[0.1663, 0.8337, 0.0000], [0.8337, 0.1663, 0.0000], [0.0000, 0.0000, 0.5000], [0.3317, 0.6683, 0.5000], [0.6683, 0.3317, 0.5000], [0.5000, 0.5000, 0.0000], [0.0951, 0.4207, 0.7617], [0.2544, 0.2544, 0.2387], [0.4207, 0.0951, 0.7617], [0.5793, 0.9049, 0.2383], [0.7456, 0.7456, 0.7613], [0.9049, 0.5793, 0.2383]]
}

(2)
{
  "formula": "Ce2NdPa3P6",
  "functional": "PBE",
  "state": "relaxed",
  "energy_ev_per_cell": -94.59,
  "magmom_total_mub_per_fu": 0.56,
  "sg": "C2/m, No. 12",
  "formation_enthalpy_0k_kj_per_mol_atoms": -136.7,
  "lattice": [[3.4900, -6.0449, 0.0000], [3.4900, 6.0449, 0.0000], [-2.3286, 0.0000, 6.6063]],
  "species": ["Ce", "Ce", "Nd", "Pa", "Pa", "Pa", "P", "P", "P", "P", "P", "P"],
  "frac_coords": [[0.1668, 0.8332, 0.0000], [0.8332, 0.1668, 0.0000], [0.5000, 0.5000, 0.0000], [0.0000, 0.0000, 0.5000], [0.3344, 0.6656, 0.5000], [0.6656, 0.3344, 0.5000], [0.0765, 0.4127, 0.7380], [0.2508, 0.2508, 0.2609], [0.4127, 0.0765, 0.7380], [0.5873, 0.9235, 0.2620], [0.7492, 0.7492, 0.7391], [0.9235, 0.5873, 0.2620]]
}

(3)
{
  "formula": "CeNd3Pa2P6",
  "functional": "PBE",
  "state": "relaxed",
  "energy_ev_per_cell": -89.30,
  "magmom_total_mub_per_fu": 0.47,
  "sg": "C2/m, No. 12",
  "formation_enthalpy_0k_kj_per_mol_atoms": -141.6,
  "lattice": [[3.5314, -6.1156, 0.0000], [3.5314, 6.1156, 0.0000], [-2.3537, 0.0000, 6.6706]],
  "species": ["Ce", "Nd", "Nd", "Nd", "Pa", "Pa", "P", "P", "P", "P", "P", "P"],
  "frac_coords": [[0.0000, 0.0000, 0.0000], [0.1650, 0.8350, 0.5000], [0.5000, 0.5000, 0.5000], [0.8350, 0.1650, 0.5000], [0.3331, 0.6669, 0.0000], [0.6669, 0.3331, 0.0000], [0.0786, 0.4187, 0.2354], [0.2619, 0.2619, 0.7652], [0.4187, 0.0786, 0.2354], [0.5813, 0.9214, 0.7646], [0.7381, 0.7381, 0.2348], [0.9214, 0.5813, 0.7646]]
}

(4)
{
  "formula": "Ce4NdPa3P8",
  "functional": "PBE",
  "state": "relaxed",
  "energy_ev_per_cell": -123.27,
  "magmom_total_mub_per_fu": 1.29,
  "sg": "R-3m, No. 166",
  "formation_enthalpy_0k_kj_per_mol_atoms": -138.7,
  "lattice": [[4.0432, 2.3343, 6.6131], [-4.0432, 2.3343, 6.6131], [0.0000, -4.6687, 6.6131]],
  "species": ["Ce", "Ce", "Ce", "Ce", "Nd", "Pa", "Pa", "Pa", "P", "P", "P", "P", "P", "P", "P", "P"],
  "frac_coords": [[0.0000, 0.0000, 0.0000], [0.0000, 0.5000, 0.5000], [0.5000, 0.0000, 0.5000], [0.5000, 0.5000, 0.0000], [0.5000, 0.5000, 0.5000], [0.0000, 0.0000, 0.5000], [0.0000, 0.5000, 0.0000], [0.5000, 0.0000, 0.0000], [0.2399, 0.7522, 0.7522], [0.2467, 0.2467, 0.2467], [0.2478, 0.2478, 0.7601], [0.2478, 0.7601, 0.2478], [0.7522, 0.2399, 0.7522], [0.7522, 0.7522, 0.2399], [0.7533, 0.7533, 0.7533], [0.7601, 0.2478, 0.2478]]
}